Record 1
# Sr2Tl5Cd3 GGA-PBE relaxed
# **Space-group type**: Ibam (72)
# **Relative energy among the computed polymorphs**: 0.28 eV per formula unit
data_Sr2Tl5Cd3
_chemical_formula_sum 'Sr4 Tl10 Cd6'
_symmetry_space_group_name_H-M 'P 1'
_symmetry_Int_Tables_number 1
_symmetry_space_group_name_Hall 'P 1'
_cell_length_a 7.046
_cell_length_b 10.062
_cell_length_c 10.062
_cell_angle_alpha 76.69
_cell_angle_beta 69.50
_cell_angle_gamma 69.50
loop_
_atom_site_label
_atom_site_fract_x
_atom_site_fract_y
_atom_site_fract_z
_atom_site_occupancy
Cd1 0.631 0.497 0.240 1
Tl1 0.389 0.256 0.965 1
Tl2 0.611 0.744 0.035 1
Cd2 0.750 0.000 0.000 1
Tl3 0.491 0.759 0.759 1
Sr1 0.629 0.125 0.617 1
Tl4 0.009 0.241 0.241 1
Sr2 0.371 0.875 0.383 1
Tl5 0.509 0.241 0.241 1
Sr3 0.871 0.383 0.875 1
Sr4 0.129 0.617 0.125 1
Cd3 0.869 0.760 0.503 1
Cd4 0.250 0.000 0.000 1
Tl6 0.111 0.035 0.744 1
Tl7 0.750 0.500 0.500 1
Tl8 0.889 0.965 0.256 1
Cd5 0.369 0.503 0.760 1
Tl9 0.250 0.500 0.500 1
Cd6 0.131 0.240 0.497 1
Tl10 0.991 0.759 0.759 1

***

Record 2
# MgZr2Pd4 GGA-PBE relaxed
# **Space-group type**: P1 (1)
# **Uncorrected energy**: -6.2647 eV/atom
data_MgZr2Pd4
_chemical_formula_sum 'Mg2 Zr4 Pd8'
_symmetry_space_group_name_H-M 'P 1'
_symmetry_Int_Tables_number 1
_symmetry_space_group_name_Hall 'P 1'
_cell_length_a 5.677
_cell_length_b 7.388
_cell_length_c 7.045
_cell_angle_alpha 112.79
_cell_angle_beta 103.04
_cell_angle_gamma 103.97
loop_
_atom_site_label
_atom_site_fract_x
_atom_site_fract_y
_atom_site_fract_z
_atom_site_occupancy
Zr1 0.597 0.255 0.188 1
Pd1 0.110 0.292 0.288 1
Zr2 0.518 0.423 0.720 1
Pd2 0.799 0.653 0.540 1
Pd3 0.214 0.093 0.771 1
Mg1 0.981 0.889 0.973 1
Pd4 0.400 0.542 0.132 1
Zr3 0.019 0.423 0.715 1
Pd5 0.729 0.106 0.799 1
Pd6 0.923 0.571 0.130 1
Mg2 0.320 0.729 0.533 1
Zr4 0.822 0.931 0.371 1
Pd7 0.369 0.019 0.379 1
Pd8 0.449 0.825 0.962 1